[1]
PBE Na2LaRh3O8, relaxed; space group = No. 160; magnetization = 0.0 μB/f.u.; formation energy without anion corrections = -19.70 eV/f.u.
1.0
3.198 1.847 5.333
-3.198 1.847 5.333
0.000 -3.693 5.333
Na La Rh O
2 1 3 8
Direct
0.000 0.000 0.000
0.373 0.373 0.373
0.612 0.612 0.612
0.490 0.998 0.998
0.998 0.490 0.998
0.998 0.998 0.490
0.188 0.750 0.750
0.228 0.228 0.228
0.254 0.254 0.801
0.254 0.801 0.254
0.750 0.188 0.750
0.750 0.750 0.188
0.765 0.765 0.765
0.801 0.254 0.254



[2]
PBE Cs2BeBr4, relaxed; space group = No. 11; magnetization = 0.0 μB/f.u.; formation energy without anion corrections = -10.67 eV/f.u.
1.0
7.518 0.000 0.000
0.000 7.487 0.000
-1.977 0.000 9.997
Cs Be Br
4 2 8
Direct
0.150 0.250 0.389
0.315 0.750 0.035
0.685 0.250 0.965
0.850 0.750 0.611
0.167 0.250 0.782
0.833 0.750 0.218
0.116 0.750 0.328
0.188 0.250 0.002
0.307 0.013 0.721
0.307 0.487 0.721
0.693 0.513 0.279
0.693 0.987 0.279
0.812 0.750 0.998
0.884 0.250 0.672



[3]
PBE Th4TcRhSe2, relaxed; space group = No. 10; magnetization = 0.0 μB/f.u.; formation energy without anion corrections = -8.26 eV/f.u.
1.0
7.097 0.000 0.000
0.000 4.105 0.000
-2.373 0.000 7.404
Th Tc Rh Se
4 1 1 2
Direct
0.233 0.000 0.217
0.257 0.500 0.786
0.743 0.500 0.214
0.767 0.000 0.783
0.000 0.500 0.000
0.500 0.000 0.000
0.000 0.000 0.500
0.500 0.500 0.500